# 1
! CaMgW3 | Alexandria via LeMat-Bulk | PBE-GGA | relaxed; values from VASP
&SYSTEM
  ibrav = 0, nat = 5, ntyp = 3
/
ATOMIC_SPECIES
Ca 40.08 Ca.upf
W 183.84 W.upf
Mg 24.30 Mg.upf
CELL_PARAMETERS angstrom
4.744 0.000 0.000
0.000 4.744 0.000
0.000 0.000 4.744
ATOMIC_POSITIONS crystal
Ca 0.500 0.500 0.500
W 0.000 0.000 0.500
W 0.000 0.500 0.000
W 0.500 0.000 0.000
Mg 0.000 0.000 0.000
! ΔH_f (0 K) ... 2.321 eV per atom
! Magnetization ... 0.2320 μB per atom
! E above lowest polymorph ... 0 kJ/mol of formula units
! Space-group type ... Pm-3m (221)

# 2
! CaMgW3 | Alexandria via LeMat-Bulk | PBE-GGA | relaxed; values from VASP
&SYSTEM
  ibrav = 0, nat = 5, ntyp = 3
/
ATOMIC_SPECIES
Mg 24.30 Mg.upf
W 183.84 W.upf
Ca 40.08 Ca.upf
CELL_PARAMETERS angstrom
-1.855 1.636 3.992
3.667 -1.692 2.397
2.273 4.064 -0.609
ATOMIC_POSITIONS crystal
Mg 0.500 0.500 0.500
W 0.500 0.000 0.000
W 0.000 0.500 0.000
W 0.000 0.000 0.500
Ca 0.000 0.000 0.000
! ΔH_f (0 K) ... 2.957 eV per atom
! Magnetization ... 0.0000 μB per atom
! E above lowest polymorph ... 307 kJ/mol of formula units
! Space-group type ... Pm-3m (221)

# 3
! CaMg2W | Alexandria via LeMat-Bulk | PBE-GGA | relaxed; values from VASP
&SYSTEM
  ibrav = 0, nat = 4, ntyp = 3
/
ATOMIC_SPECIES
Mg 24.30 Mg.upf
W 183.84 W.upf
Ca 40.08 Ca.upf
CELL_PARAMETERS angstrom
4.078 0.000 0.000
0.000 4.596 0.000
0.000 0.000 4.596
ATOMIC_POSITIONS crystal
Mg 0.000 0.500 0.500
Mg 0.000 0.000 0.000
W 0.500 0.500 0.000
Ca 0.500 0.000 0.500
! ΔH_f (0 K) ... 0.737 eV per atom
! Magnetization ... 0.0000 μB per atom
! E above lowest polymorph ... 112 kJ/mol of formula units
! Space-group type ... P4/mmm (123)

# 4
! CaMg2W | Alexandria via LeMat-Bulk | PBE-GGA | relaxed; values from VASP
&SYSTEM
  ibrav = 0, nat = 4, ntyp = 3
/
ATOMIC_SPECIES
Mg 24.30 Mg.upf
Ca 40.08 Ca.upf
W 183.84 W.upf
CELL_PARAMETERS angstrom
-0.387 -2.751 -0.844
1.586 -1.512 4.200
-5.854 0.130 2.257
ATOMIC_POSITIONS crystal
Mg 0.500 0.500 0.268
Mg 0.000 0.000 0.014
Ca 0.500 0.500 0.734
W 0.000 0.000 0.484
! ΔH_f (0 K) ... 0.632 eV per atom
! Magnetization ... 0.0000 μB per atom
! E above lowest polymorph ... 72 kJ/mol of formula units
! Space-group type ... Pmm2 (25)

# 5
! CaMg6W | Alexandria via LeMat-Bulk | PBE-GGA | relaxed; values from VASP
&SYSTEM
  ibrav = 0, nat = 8, ntyp = 3
/
ATOMIC_SPECIES
Mg 24.30 Mg.upf
W 183.84 W.upf
Ca 40.08 Ca.upf
CELL_PARAMETERS angstrom
-4.715 3.376 -2.683
4.158 -3.205 -3.642
-3.003 -4.071 0.155
ATOMIC_POSITIONS crystal
Mg 0.820 0.663 0.500
Mg 0.185 0.358 0.000
Mg 0.836 0.164 0.500
Mg 0.337 0.180 0.500
Mg 0.642 0.815 0.000
Mg 0.669 0.331 0.000
W 0.338 0.662 0.500
Ca 0.172 0.828 0.000
! ΔH_f (0 K) ... 0.347 eV per atom
! Magnetization ... 0.0813 μB per atom
! E above lowest polymorph ... 76 kJ/mol of formula units
! Space-group type ... Amm2 (38)

# 6
! CaMg2W | Alexandria via LeMat-Bulk | PBE-GGA | relaxed; values from VASP
&SYSTEM
  ibrav = 0, nat = 4, ntyp = 3
/
ATOMIC_SPECIES
Mg 24.30 Mg.upf
Ca 40.08 Ca.upf
W 183.84 W.upf
CELL_PARAMETERS angstrom
6.334 -0.010 -0.006
3.318 5.396 0.006
-4.042 -4.097 2.645
ATOMIC_POSITIONS crystal
Mg 0.970 0.970 0.000
Mg 0.530 0.530 0.000
Ca 0.250 0.750 0.500
W 0.750 0.250 0.500
! ΔH_f (0 K) ... 0.644 eV per atom
! Magnetization ... 0.0000 μB per atom
! E above lowest polymorph ... 77 kJ/mol of formula units
! Space-group type ... Immm (71)

# 7
! CaMg2W | Alexandria via LeMat-Bulk | PBE-GGA | relaxed; values from VASP
&SYSTEM
  ibrav = 0, nat = 4, ntyp = 3
/
ATOMIC_SPECIES
Mg 24.30 Mg.upf
Ca 40.08 Ca.upf
W 183.84 W.upf
CELL_PARAMETERS angstrom
-0.639 3.516 -3.463
-2.410 -1.346 -0.922
-3.982 2.721 3.497
ATOMIC_POSITIONS crystal
Mg 0.500 0.165 0.277
Mg 0.000 0.104 0.012
Ca 0.500 0.753 0.747
W 0.000 0.478 0.464
! ΔH_f (0 K) ... 0.616 eV per atom
! Magnetization ... 0.0000 μB per atom
! E above lowest polymorph ... 66 kJ/mol of formula units
! Space-group type ... Pm (6)

# 8
! CaMg2W | Alexandria via LeMat-Bulk | PBE-GGA | relaxed; values from VASP
&SYSTEM
  ibrav = 0, nat = 8, ntyp = 3
/
ATOMIC_SPECIES
W 183.84 W.upf
Ca 40.08 Ca.upf
Mg 24.30 Mg.upf
CELL_PARAMETERS angstrom
-0.094 0.502 -4.336
4.080 -1.532 -0.266
-1.721 -10.225 -3.344
ATOMIC_POSITIONS crystal
W 0.750 0.250 0.500
W 0.000 0.000 0.000
Ca 0.500 0.500 0.000
Ca 0.250 0.750 0.500
Mg 0.082 0.625 0.250
Mg 0.875 0.918 0.750
Mg 0.375 0.332 0.750
Mg 0.668 0.125 0.250
! ΔH_f (0 K) ... 1.101 eV per atom
! Magnetization ... 0.5000 μB per atom
! E above lowest polymorph ... 253 kJ/mol of formula units
! Space-group type ... I-42d (122)

Copy entry 5 word for word.
! CaMg6W | Alexandria via LeMat-Bulk | PBE-GGA | relaxed; values from VASP
&SYSTEM
  ibrav = 0, nat = 8, ntyp = 3
/
ATOMIC_SPECIES
Mg 24.30 Mg.upf
W 183.84 W.upf
Ca 40.08 Ca.upf
CELL_PARAMETERS angstrom
-4.715 3.376 -2.683
4.158 -3.205 -3.642
-3.003 -4.071 0.155
ATOMIC_POSITIONS crystal
Mg 0.820 0.663 0.500
Mg 0.185 0.358 0.000
Mg 0.836 0.164 0.500
Mg 0.337 0.180 0.500
Mg 0.642 0.815 0.000
Mg 0.669 0.331 0.000
W 0.338 0.662 0.500
Ca 0.172 0.828 0.000
! ΔH_f (0 K) ... 0.347 eV per atom
! Magnetization ... 0.0813 μB per atom
! E above lowest polymorph ... 76 kJ/mol of formula units
! Space-group type ... Amm2 (38)

Please write out number 4 again, unchanged.
! CaMg2W | Alexandria via LeMat-Bulk | PBE-GGA | relaxed; values from VASP
&SYSTEM
  ibrav = 0, nat = 4, ntyp = 3
/
ATOMIC_SPECIES
Mg 24.30 Mg.upf
Ca 40.08 Ca.upf
W 183.84 W.upf
CELL_PARAMETERS angstrom
-0.387 -2.751 -0.844
1.586 -1.512 4.200
-5.854 0.130 2.257
ATOMIC_POSITIONS crystal
Mg 0.500 0.500 0.268
Mg 0.000 0.000 0.014
Ca 0.500 0.500 0.734
W 0.000 0.000 0.484
! ΔH_f (0 K) ... 0.632 eV per atom
! Magnetization ... 0.0000 μB per atom
! E above lowest polymorph ... 72 kJ/mol of formula units
! Space-group type ... Pmm2 (25)